Record 1
Material: Lu3Ga9Pd2
Method: DFT, GGA-PBEsol
State: optimized geometry

Output
ΔH_f (0 K): -0.66 eV/atom
Fermi-level density of states: 2.37 states/eV/f.u.
M_tot: 0.00 μB/cell
volume: 16.99 A^3/atom

```
data_Lu3Ga9Pd2
_chemical_formula_sum 'Lu3 Ga9 Pd2'
_symmetry_space_group_name_H-M 'P 1'
_symmetry_Int_Tables_number 1
_symmetry_space_group_name_Hall 'P 1'
_cell_length_a 4.192
_cell_length_b 7.951
_cell_length_c 7.951
_cell_angle_alpha 71.60
_cell_angle_beta 74.71
_cell_angle_gamma 74.71
loop_
_atom_site_label
_atom_site_fract_x
_atom_site_fract_y
_atom_site_fract_z
Lu1 0.500 0.500 0.500
Lu2 0.800 0.200 0.200
Lu3 0.200 0.800 0.800
Ga1 0.639 0.644 0.078
Ga2 0.361 0.356 0.922
Ga3 0.639 0.078 0.644
Ga4 0.361 0.922 0.356
Ga5 0.845 0.523 0.787
Ga6 0.155 0.477 0.213
Ga7 0.845 0.787 0.523
Ga8 0.155 0.213 0.477
Ga9 0.500 0.000 0.000
Pd1 0.000 0.182 0.818
Pd2 0.000 0.818 0.182
```

Record 2
Material: LaTlCr4
Method: DFT, GGA-PBEsol
State: optimized geometry

Output
ΔH_f (0 K): 0.64 eV/atom
Fermi-level density of states: 10.00 states/eV/f.u.
M_tot: 0.01 μB/cell
volume: 16.02 A^3/atom

```
data_LaTlCr4
_chemical_formula_sum 'La1 Tl1 Cr4'
_symmetry_space_group_name_H-M 'P 1'
_symmetry_Int_Tables_number 1
_symmetry_space_group_name_Hall 'P 1'
_cell_length_a 5.142
_cell_length_b 5.142
_cell_length_c 5.142
_cell_angle_alpha 60.00
_cell_angle_beta 60.00
_cell_angle_gamma 60.00
loop_
_atom_site_label
_atom_site_fract_x
_atom_site_fract_y
_atom_site_fract_z
Cr1 0.379 0.379 0.379
Cr2 0.379 0.379 0.863
Cr3 0.863 0.379 0.379
Cr4 0.379 0.863 0.379
La1 0.750 0.750 0.750
Tl1 0.000 0.000 0.000
```

Record 3
Material: MnAg2I
Method: DFT, GGA-PBEsol
State: optimized geometry

Output
Fermi-level density of states: 1.58 states/eV/f.u.
raw formation energy: 2.8 eV per formula unit
M_tot: 3.97 μB/cell
volume: 20.16 A^3/atom

```
data_MnAg2I
_chemical_formula_sum 'Mn1 Ag2 I1'
_symmetry_space_group_name_H-M 'P 1'
_symmetry_Int_Tables_number 1
_symmetry_space_group_name_Hall 'P 1'
_cell_length_a 4.850
_cell_length_b 4.850
_cell_length_c 4.850
_cell_angle_alpha 60.00
_cell_angle_beta 60.00
_cell_angle_gamma 60.00
loop_
_atom_site_label
_atom_site_fract_x
_atom_site_fract_y
_atom_site_fract_z
I1 0.500 0.500 0.500
Mn1 0.000 0.000 0.000
Ag1 0.250 0.250 0.250
Ag2 0.750 0.750 0.750
```

Record 4
Material: Hf8MnTe6
Method: DFT, GGA-PBEsol
State: optimized geometry

Output
Fermi-level density of states: 9.68 states/eV/f.u.
raw formation energy: -9.5 eV per formula unit
M_tot: 0.00 μB/cell
volume: 23.88 A^3/atom

```
data_Hf8MnTe6
_chemical_formula_sum 'Hf16 Mn2 Te12'
_symmetry_space_group_name_H-M 'P 1'
_symmetry_Int_Tables_number 1
_symmetry_space_group_name_Hall 'P 1'
_cell_length_a 3.682
_cell_length_b 7.562
_cell_length_c 25.738
_cell_angle_alpha 90.00
_cell_angle_beta 90.00
_cell_angle_gamma 90.00
loop_
_atom_site_label
_atom_site_fract_x
_atom_site_fract_y
_atom_site_fract_z
Hf1 0.000 0.430 0.000
Hf2 0.500 0.438 0.699
Hf3 0.000 0.552 0.401
Hf4 0.500 0.448 0.099
Hf5 0.500 0.235 0.432
Hf6 0.500 0.570 0.500
Hf7 0.000 0.959 0.500
Hf8 0.000 0.765 0.068
Hf9 0.500 0.041 0.000
Hf10 0.500 0.235 0.568
Hf11 0.000 0.562 0.199
Hf12 0.500 0.448 0.901
Hf13 0.000 0.765 0.932
Hf14 0.000 0.562 0.801
Hf15 0.000 0.552 0.599
Hf16 0.500 0.438 0.301
Mn1 0.500 0.684 0.000
Mn2 0.000 0.316 0.500
Te1 0.000 0.194 0.656
Te2 0.500 0.277 0.201
Te3 0.500 0.806 0.156
Te4 0.000 0.723 0.701
Te5 0.500 0.847 0.418
Te6 0.500 0.277 0.799
Te7 0.500 0.847 0.582
Te8 0.000 0.723 0.299
Te9 0.000 0.194 0.344
Te10 0.500 0.806 0.844
Te11 0.000 0.153 0.082
Te12 0.000 0.153 0.918
```

Record 5
Material: CoTcAu
Method: DFT, GGA-PBEsol
State: optimized geometry

Output
ΔH_f (0 K): 0.27 eV/atom
Fermi-level density of states: 2.80 states/eV/f.u.
M_tot: 0.00 μB/cell
volume: 13.58 A^3/atom

```
data_CoTcAu
_chemical_formula_sum 'Co1 Tc1 Au1'
_symmetry_space_group_name_H-M 'P 1'
_symmetry_Int_Tables_number 1
_symmetry_space_group_name_Hall 'P 1'
_cell_length_a 2.690
_cell_length_b 3.647
_cell_length_c 4.731
_cell_angle_alpha 112.67
_cell_angle_beta 106.52
_cell_angle_gamma 90.00
loop_
_atom_site_label
_atom_site_fract_x
_atom_site_fract_y
_atom_site_fract_z
Au1 0.002 0.002 0.003
Co1 0.683 0.683 0.365
Tc1 0.316 0.316 0.631
```

Record 6
Material: ZnS2ICl
Method: DFT, GGA-PBEsol
State: optimized geometry

Output
Fermi-level density of states: 2.92 states/eV/f.u.
raw formation energy: 3.4 eV per formula unit
M_tot: 0.00 μB/cell
volume: 26.94 A^3/atom

```
data_ZnS2ICl
_chemical_formula_sum 'Zn1 S2 I1 Cl1'
_symmetry_space_group_name_H-M 'P 1'
_symmetry_Int_Tables_number 1
_symmetry_space_group_name_Hall 'P 1'
_cell_length_a 5.078
_cell_length_b 5.078
_cell_length_c 5.224
_cell_angle_alpha 90.00
_cell_angle_beta 90.00
_cell_angle_gamma 90.00
loop_
_atom_site_label
_atom_site_fract_x
_atom_site_fract_y
_atom_site_fract_z
I1 0.000 0.000 0.000
Zn1 0.500 0.500 0.500
S1 0.000 0.500 0.000
S2 0.500 0.000 0.000
Cl1 0.000 0.000 0.500
```

Please write out number 4 again, unchanged.
Material: Hf8MnTe6
Method: DFT, GGA-PBEsol
State: optimized geometry

Output
Fermi-level density of states: 9.68 states/eV/f.u.
raw formation energy: -9.5 eV per formula unit
M_tot: 0.00 μB/cell
volume: 23.88 A^3/atom

```
data_Hf8MnTe6
_chemical_formula_sum 'Hf16 Mn2 Te12'
_symmetry_space_group_name_H-M 'P 1'
_symmetry_Int_Tables_number 1
_symmetry_space_group_name_Hall 'P 1'
_cell_length_a 3.682
_cell_length_b 7.562
_cell_length_c 25.738
_cell_angle_alpha 90.00
_cell_angle_beta 90.00
_cell_angle_gamma 90.00
loop_
_atom_site_label
_atom_site_fract_x
_atom_site_fract_y
_atom_site_fract_z
Hf1 0.000 0.430 0.000
Hf2 0.500 0.438 0.699
Hf3 0.000 0.552 0.401
Hf4 0.500 0.448 0.099
Hf5 0.500 0.235 0.432
Hf6 0.500 0.570 0.500
Hf7 0.000 0.959 0.500
Hf8 0.000 0.765 0.068
Hf9 0.500 0.041 0.000
Hf10 0.500 0.235 0.568
Hf11 0.000 0.562 0.199
Hf12 0.500 0.448 0.901
Hf13 0.000 0.765 0.932
Hf14 0.000 0.562 0.801
Hf15 0.000 0.552 0.599
Hf16 0.500 0.438 0.301
Mn1 0.500 0.684 0.000
Mn2 0.000 0.316 0.500
Te1 0.000 0.194 0.656
Te2 0.500 0.277 0.201
Te3 0.500 0.806 0.156
Te4 0.000 0.723 0.701
Te5 0.500 0.847 0.418
Te6 0.500 0.277 0.799
Te7 0.500 0.847 0.582
Te8 0.000 0.723 0.299
Te9 0.000 0.194 0.344
Te10 0.500 0.806 0.844
Te11 0.000 0.153 0.082
Te12 0.000 0.153 0.918
```